(1)
! AcPrF PBE optimized geometry; values from VASP
&SYSTEM
  ibrav = 0, nat = 3, ntyp = 3
/
ATOMIC_SPECIES
Ac 227.00 Ac.upf
Pr 140.91 Pr.upf
F 19.00 F.upf
CELL_PARAMETERS angstrom
4.057 0.000 0.000
-2.028 3.513 0.000
0.000 0.000 6.050
ATOMIC_POSITIONS crystal
Ac 0.000 0.000 0.000
Pr 0.667 0.333 0.513
F 0.333 0.667 0.745
! **Calculated total energy**: -15.370 eV per cell
! **Formation energy without anion corrections**: -148.28 kJ per mole of atoms
! **Energy relative to the lowest polymorph listed for this composition**: 0 meV per atom

(2)
! Ac2PrF PBE optimized geometry; values from VASP
&SYSTEM
  ibrav = 0, nat = 4, ntyp = 3
/
ATOMIC_SPECIES
Ac 227.00 Ac.upf
Pr 140.91 Pr.upf
F 19.00 F.upf
CELL_PARAMETERS angstrom
1.971 1.138 10.356
-1.971 1.138 10.356
0.000 -2.276 10.356
ATOMIC_POSITIONS crystal
Ac 0.116 0.116 0.116
Ac 0.884 0.884 0.884
Pr 0.000 0.000 0.000
F 0.500 0.500 0.500
! **Calculated total energy**: -18.458 eV per cell
! **Formation energy without anion corrections**: -86.60 kJ per mole of atoms

(3)
! AcPr2S3F3 PBE optimized geometry; values from VASP
&SYSTEM
  ibrav = 0, nat = 9, ntyp = 4
/
ATOMIC_SPECIES
Ac 227.00 Ac.upf
Pr 140.91 Pr.upf
S 32.06 S.upf
F 19.00 F.upf
CELL_PARAMETERS angstrom
7.067 0.000 0.000
-3.533 6.120 0.000
0.000 0.000 4.051
ATOMIC_POSITIONS crystal
Ac 0.000 0.000 0.000
Pr 0.333 0.667 0.500
Pr 0.667 0.333 0.500
S 0.000 0.428 0.000
S 0.428 0.000 0.000
S 0.572 0.572 0.000
F 0.000 0.763 0.500
F 0.237 0.237 0.500
F 0.763 0.000 0.500
! **Calculated total energy**: -58.976 eV per cell
! **Formation energy without anion corrections**: -292.80 kJ per mole of atoms

(4)
! AcPtF PBE optimized geometry; values from VASP
&SYSTEM
  ibrav = 0, nat = 3, ntyp = 3
/
ATOMIC_SPECIES
Ac 227.00 Ac.upf
Pt 195.08 Pt.upf
F 19.00 F.upf
CELL_PARAMETERS angstrom
-2.048 2.048 4.201
2.048 -2.048 4.201
2.048 2.048 -4.201
ATOMIC_POSITIONS crystal
Ac 0.000 0.000 0.000
Pt 0.373 0.373 0.000
F 0.715 0.715 0.000
! **Calculated total energy**: -17.565 eV per cell
! **Formation energy without anion corrections**: -178.33 kJ per mole of atoms
! **Energy relative to the lowest polymorph listed for this composition**: 526 meV per atom

(5)
! Ac2PtF PBE optimized geometry; values from VASP
&SYSTEM
  ibrav = 0, nat = 4, ntyp = 3
/
ATOMIC_SPECIES
Ac 227.00 Ac.upf
Pt 195.08 Pt.upf
F 19.00 F.upf
CELL_PARAMETERS angstrom
2.181 1.259 8.174
-2.181 1.259 8.174
0.000 -2.518 8.174
ATOMIC_POSITIONS crystal
Ac 0.000 0.000 0.000
Ac 0.193 0.193 0.193
Pt 0.603 0.603 0.603
F 0.829 0.829 0.829
! **Calculated total energy**: -23.434 eV per cell
! **Formation energy without anion corrections**: -176.20 kJ per mole of atoms
! **Energy relative to the lowest polymorph listed for this composition**: 20 meV per atom

(6)
! AcPtF6 PBE optimized geometry; values from VASP
&SYSTEM
  ibrav = 0, nat = 8, ntyp = 3
/
ATOMIC_SPECIES
Ac 227.00 Ac.upf
Pt 195.08 Pt.upf
F 19.00 F.upf
CELL_PARAMETERS angstrom
3.098 -3.585 0.000
3.098 3.585 0.000
-0.763 0.000 5.151
ATOMIC_POSITIONS crystal
Ac 0.000 0.000 0.000
Pt 0.500 0.500 0.500
F 0.185 0.546 0.190
F 0.196 0.196 0.571
F 0.454 0.815 0.810
F 0.546 0.185 0.190
F 0.804 0.804 0.429
F 0.815 0.454 0.810
! **Calculated total energy**: -42.202 eV per cell
! **Formation energy without anion corrections**: -251.16 kJ per mole of atoms

The lowest formation energy without anion corrections belongs to which entry?
AcPr2S3F3

What is the formation energy without anion corrections in the sixth record?
-251.16 kJ per mole of atoms

What is the formula in the third record?
AcPr2S3F3

Repeat the fourth record exactly.
! AcPtF PBE optimized geometry; values from VASP
&SYSTEM
  ibrav = 0, nat = 3, ntyp = 3
/
ATOMIC_SPECIES
Ac 227.00 Ac.upf
Pt 195.08 Pt.upf
F 19.00 F.upf
CELL_PARAMETERS angstrom
-2.048 2.048 4.201
2.048 -2.048 4.201
2.048 2.048 -4.201
ATOMIC_POSITIONS crystal
Ac 0.000 0.000 0.000
Pt 0.373 0.373 0.000
F 0.715 0.715 0.000
! **Calculated total energy**: -17.565 eV per cell
! **Formation energy without anion corrections**: -178.33 kJ per mole of atoms
! **Energy relative to the lowest polymorph listed for this composition**: 526 meV per atom